Run 1
# Ru2WIF | the Alexandria database | PBE+U | relaxed
data_Ru2WIF
_space_group_name_H-M_alt 'P 4/m m m'
_space_group_IT_number 123
_space_group_name_Hall '-P 4 2'
_cell_length_a 4.865
_cell_length_b 4.865
_cell_length_c 5.487
_cell_angle_alpha 90.00
_cell_angle_beta 90.00
_cell_angle_gamma 90.00
loop_
_atom_site_label
_atom_site_type_symbol
_atom_site_fract_x
_atom_site_fract_y
_atom_site_fract_z
Ru1 Ru 0.000 0.500 0.000
W1 W 0.000 0.000 0.000
I1 I 0.000 0.000 0.500
F1 F 0.500 0.500 0.500
# total magnetization = 0.46 μB per atom



Run 2
# Ru2WIF | the Alexandria database | PBE+U | relaxed
data_Ru2WIF
_space_group_name_H-M_alt 'P 4/m m m'
_space_group_IT_number 123
_space_group_name_Hall '-P 4 2'
_cell_length_a 4.194
_cell_length_b 4.194
_cell_length_c 5.363
_cell_angle_alpha 90.00
_cell_angle_beta 90.00
_cell_angle_gamma 90.00
loop_
_atom_site_label
_atom_site_type_symbol
_atom_site_fract_x
_atom_site_fract_y
_atom_site_fract_z
Ru1 Ru 0.000 0.500 0.000
W1 W 0.000 0.000 0.500
I1 I 0.500 0.500 0.500
F1 F 0.500 0.500 0.000
# total magnetization = 0.18 μB per atom



Out of the structures above, which one is the most stable? Solution: run 2.